# 1
Crystalline HfPa2Nb at its relaxed geometry. Source: the Alexandria database, functional PBE.

Geometry as POSCAR:
```
HfPa2Nb
1.0
-0.273 -2.240 2.186
-0.131 -3.021 -0.854
10.630 -2.409 1.117
Nb Pa Hf
1 2 1
Direct
0.000 0.000 0.000
0.251 0.251 0.246
0.749 0.749 0.754
0.500 0.500 0.500
```

Summary:
The polymorph energy (0 for the lowest one) comes out at 7.5 kJ/mol of atoms. As for the crystal system: trigonal.

---

# 2
Crystalline HfPaNb4 at its relaxed geometry. Source: the Alexandria database, functional PBE.

Geometry as POSCAR:
```
HfPaNb4
1.0
5.598 0.000 0.000
2.799 4.848 0.000
2.799 1.616 4.571
Nb Pa Hf
4 1 1
Direct
0.625 0.625 0.124
0.625 0.124 0.625
0.625 0.625 0.625
0.124 0.625 0.625
0.000 0.000 0.000
0.250 0.250 0.250
```

Summary:
As for the crystal system: cubic.

---

# 3
Crystalline HfPaNb2 at its relaxed geometry. Source: the Alexandria database, functional PBE.

Geometry as POSCAR:
```
HfPaNb2
1.0
3.299 0.000 0.000
1.649 2.857 0.000
1.649 0.952 9.026
Nb Pa Hf
2 1 1
Direct
0.247 0.247 0.259
0.753 0.753 0.741
0.500 0.500 0.500
0.000 0.000 0.000
```

Summary:
The polymorph energy (0 for the lowest one) comes out at 28.0 kJ/mol of atoms. As for the crystal system: trigonal.

---

# 4
Crystalline HfPa2Nb at its relaxed geometry. Source: the Alexandria database, functional PBE.

Geometry as POSCAR:
```
HfPa2Nb
1.0
5.075 0.000 0.000
2.538 4.395 0.000
2.538 1.465 4.144
Nb Pa Hf
1 2 1
Direct
0.500 0.500 0.500
0.250 0.250 0.250
0.750 0.750 0.750
0.000 0.000 0.000
```

Summary:
The polymorph energy (0 for the lowest one) comes out at 14.0 kJ/mol of atoms. As for the crystal system: cubic.

---

# 5
Crystalline HfPaNb2 at its relaxed geometry. Source: the Alexandria database, functional PBE.

Geometry as POSCAR:
```
HfPaNb2
1.0
-1.947 2.087 3.983
2.166 -0.550 4.361
2.245 3.806 2.118
Nb Pa Hf
2 1 1
Direct
0.250 0.250 0.250
0.750 0.750 0.750
0.000 0.000 0.000
0.500 0.500 0.500
```

Summary:
The polymorph energy (0 for the lowest one) comes out at 0.0 kJ/mol of atoms. As for the crystal system: cubic.

---

# 6
Crystalline HfPa2Nb at its relaxed geometry. Source: the Alexandria database, functional PBE.

Geometry as POSCAR:
```
HfPa2Nb
1.0
2.980 0.000 0.000
0.000 2.980 0.000
0.000 0.000 10.186
Nb Pa Hf
1 2 1
Direct
0.500 0.500 0.000
0.000 0.000 0.754
0.000 0.000 0.246
0.500 0.500 0.500
```

Summary:
The polymorph energy (0 for the lowest one) comes out at 2.6 kJ/mol of atoms. As for the crystal system: tetragonal.

---

| no. | DOS at the Fermi energy (states/eV/cell) | total DFT energy (no corrections) (eV/atom) |
| --- | --- | --- |
| 1 | 7.74 | -9.50 |
| 2 | 8.91 | -9.88 |
| 3 | 7.49 | -9.60 |
| 4 | 9.93 | -9.43 |
| 5 | 4.88 | -9.89 |
| 6 | 6.35 | -9.55 |